No. 1
First-principles (PBE) data for an optimized crystal structure of BaLiSeBr2, as listed in the Alexandria database. Values from VASP.

Output
D(E_F) in states/eV per cell: 3.7
Total moment in μB/f.u.: 1.00
Space group: P4/mmm
Formation energy from raw total energies in eV/atom: -1.39
Crystal system: tetragonal
E above lowest polymorph in kJ/mol of formula units: 0.0

```
&SYSTEM
  ibrav = 0, nat = 5, ntyp = 4
/
ATOMIC_SPECIES
Se 78.96 Se.upf
Ba 137.33 Ba.upf
Br 79.90 Br.upf
Li 6.94 Li.upf
CELL_PARAMETERS angstrom
5.1512 0.0000 0.0000
0.0000 5.1512 0.0000
0.0000 0.0000 5.2415
ATOMIC_POSITIONS crystal
Se 0.0000 0.0000 0.5000
Ba 0.5000 0.5000 0.5000
Br 0.0000 0.5000 0.0000
Br 0.5000 0.0000 0.0000
Li 0.0000 0.0000 0.0000
```

No. 2
First-principles (PBE) data for an optimized crystal structure of BaLiSe2Br, as listed in the Alexandria database. Values from VASP.

Output
D(E_F) in states/eV per cell: 1.4
Total moment in μB/f.u.: 0.00
Space group: P4/mmm
Formation energy from raw total energies in eV/atom: -1.16
Crystal system: tetragonal
E above lowest polymorph in kJ/mol of formula units: 0.0

```
&SYSTEM
  ibrav = 0, nat = 5, ntyp = 4
/
ATOMIC_SPECIES
Se 78.96 Se.upf
Ba 137.33 Ba.upf
Br 79.90 Br.upf
Li 6.94 Li.upf
CELL_PARAMETERS angstrom
-3.2064 -0.8801 3.4423
3.4566 0.3001 3.2965
-1.0054 5.7419 0.5315
ATOMIC_POSITIONS crystal
Se 0.0000 0.5000 0.0000
Se 0.5000 0.0000 0.0000
Ba 0.5000 0.5000 0.5000
Br 0.0000 0.0000 0.5000
Li 0.0000 0.0000 0.0000
```